(1)
Material: CuBrO3
Method: DFT, PBE
State: optimized geometry

Cell and atoms, written as extended XYZ:
```
5
Lattice="3.776 0.000 0.000 0.000 3.776 0.000 0.000 0.000 3.776" Properties=species:S:1:pos:R:3 pbc="T T T"
Cu 0.000 0.000 0.000
Br 1.888 1.888 1.888
O 0.000 0.000 1.888
O 0.000 1.888 0.000
O 1.888 0.000 0.000
```

Properties
Formation energy (no corrections): 0.544 eV/atom
Uncorrected energy: -3.5846 eV/atom
Fermi-level density of states: 0.88 states/eV/atom
Total moment: 0.0 μB/cell

(2)
Material: RbCu3Te
Method: DFT, PBE
State: optimized geometry

Cell and atoms, written as extended XYZ:
```
5
Lattice="5.190 0.000 0.000 0.000 5.190 0.000 0.000 0.000 5.190" Properties=species:S:1:pos:R:3 pbc="T T T"
Rb 0.000 0.000 0.000
Cu 0.000 2.595 2.595
Cu 2.595 0.000 2.595
Cu 2.595 2.595 0.000
Te 2.595 2.595 2.595
```

Properties
Formation energy (no corrections): 0.442 eV/atom
Uncorrected energy: -2.8376 eV/atom
Fermi-level density of states: 0.53 states/eV/atom
Total moment: 0.0 μB/cell

(3)
Material: CeYTeS2
Method: DFT, PBE
State: optimized geometry

Cell and atoms, written as extended XYZ:
```
5
Lattice="-2.250 2.250 6.872 2.250 -2.250 6.872 2.250 2.250 -6.872" Properties=species:S:1:pos:R:3 pbc="T T T"
Ce 0.000 0.000 0.000
Y 0.000 0.000 9.881
Te 0.000 0.000 5.007
S 2.250 0.000 1.586
S 0.000 2.250 1.586
```

Properties
Formation energy (no corrections): -1.590 eV/atom
Uncorrected energy: -6.3484 eV/atom
Fermi-level density of states: 1.42 states/eV/atom
Total moment: 1.0 μB/cell

(4)
Material: NaCoSe2Br
Method: DFT, PBE
State: optimized geometry

Cell and atoms, written as extended XYZ:
```
5
Lattice="4.604 0.000 0.000 0.000 4.604 0.000 0.000 0.000 5.991" Properties=species:S:1:pos:R:3 pbc="T T T"
Na 0.000 0.000 0.000
Co 2.302 2.302 2.995
Se 0.000 2.302 2.995
Se 2.302 0.000 2.995
Br 2.302 2.302 0.000
```

Properties
Formation energy (no corrections): -0.286 eV/atom
Uncorrected energy: -3.6996 eV/atom
Fermi-level density of states: 0.77 states/eV/atom
Total moment: 2.8 μB/cell